DFT (PBE) results for a relaxed Ce2Si3Rh6 crystal.

## Properties
The value obtained for the total energy is -81.4 eV per cell. As for the crystal system: hexagonal.

Cell lengths 4.4408, 6.9736, 6.9736 Å; angles 120.00, 90.00, 90.00 degrees
With the nearest neighbours (Å) after each atom.
Sites, in units of the cell vectors:
Rh1 0.5000 0.7350 0.7350  3 Si 2.38-2.43
Ce1 0.0000 0.6667 0.3333  3 Rh 2.76, 6 Si 3.09
Rh2 0.5000 0.0000 0.2650  3 Si 2.38-2.43
Rh3 0.0000 0.2285 0.2285  2 Si 2.50, 2 Rh 2.76, 2 Ce 2.76
Rh4 0.0000 0.0000 0.7715  2 Si 2.50, 2 Rh 2.76, 2 Ce 2.76
Ce2 0.0000 0.3333 0.6667  3 Rh 2.76, 6 Si 3.09
Si1 0.5000 0.0000 0.6060  5 Rh 2.38-2.50
Rh5 0.0000 0.7715 0.0000  2 Si 2.50, 2 Rh 2.76, 2 Ce 2.76
Rh6 0.5000 0.2650 0.0000  3 Si 2.38-2.43
Si2 0.5000 0.6060 0.0000  5 Rh 2.38-2.50
Si3 0.5000 0.3940 0.3940  5 Rh 2.38-2.50

DFT (PBE) results for a relaxed Sr2TmH4 crystal.

## Properties
The value obtained for the total energy is -23.3 eV per cell. As for the crystal system: tetragonal.

Cell lengths 4.2557, 4.2557, 7.3363 Å; angles 73.14, 73.14, 90.00 degrees
With the nearest neighbours (Å) after each atom.
Sites, in units of the cell vectors:
Tm1 0.0000 0.0000 0.0000  6 H 2.13-2.18
H1 0.8371 0.8371 0.3258  1 Tm 2.18
H2 0.1629 0.1629 0.6742  1 Tm 2.18
Sr1 0.6493 0.6493 0.7013  1 H 2.51
H3 0.5000 0.0000 0.0000  2 Tm 2.13
Sr2 0.3507 0.3507 0.2987  1 H 2.51
H4 0.0000 0.5000 0.0000  2 Tm 2.13